The following is a DFT calculation (GGA-PBE) of AgPb2Br after structural relaxation.

a b c (Å): 5.7387 5.7387 5.7387
angles (deg): 129.47 129.47 74.25
Last column: nearest neighbours and their distance in Å.
Fractional positions:
Pb: 0.0000 0.0000 0.0000  4 Ag 3.35, 4 Br 3.35, 4 Pb 3.46
Pb: 0.5000 0.5000 0.0000  4 Br 3.35, 4 Ag 3.35, 4 Pb 3.46
Br: 0.7500 0.2500 0.5000  8 Pb 3.35, 4 Ag 3.46
Ag: 0.2500 0.7500 0.5000  8 Pb 3.35, 4 Br 3.46

## Properties
Total energy ... -11.9 eV per cell
Excess energy over the best structure of this formula in the dataset ... 153.6 meV per atom
Uncorrected formation energy ... 0.1 eV per formula unit
Total magnetic moment ... 0.00 μB per formula unit